(1)
This record from Alexandria describes crystalline CePmHo2Tl4 at its relaxed geometry. The functional is PBE-GGA.

For the total energy, the calculation gives -3.9767 eV per atom. The theoretical density is 10.5 g cm⁻³. As for the total moment: 3.12 μB per cell. Its crystal system is trigonal.

abc: 5.4234 5.4234 26.6467
angles: 90.00 90.00 120.00
Space group R-3m (No. 166, hexagonal axes)
Unique sites:
Ce  0.0000  0.0000  0.0000 x3
Pm  0.0000  0.0000  0.5000 x3
Ho  0.0000  0.0000  0.2499 x6
Tl  0.0000  0.0000  0.1252 x6
Tl  0.0000  0.0000  0.3753 x6

(2)
This record from Alexandria describes crystalline CePm2HoTl4 at its relaxed geometry. The functional is PBE-GGA.

For the total energy, the calculation gives -4.0030 eV per atom. The theoretical density is 10.1 g cm⁻³. As for the total moment: 3.24 μB per cell. Its crystal system is trigonal.

abc: 5.4568 5.4568 26.9081
angles: 90.00 90.00 120.00
Space group R-3m (No. 166, hexagonal axes)
Unique sites:
Ce  0.0000  0.0000  0.0000 x3
Pm  0.0000  0.0000  0.2488 x6
Ho  0.0000  0.0000  0.5000 x3
Tl  0.0000  0.0000  0.1260 x6
Tl  0.0000  0.0000  0.3763 x6

(3)
This record from Alexandria describes crystalline Ce2Pm3HoTm6 at its relaxed geometry. The functional is PBE-GGA.

For the total energy, the calculation gives -4.7500 eV per atom. The theoretical density is 8.4 g cm⁻³. As for the total moment: 3.65 μB per cell. Its crystal system is monoclinic.

abc: 6.131 10.612 11.633
angles: 90.00 100.10 90.00
Space group C2/m (No. 12)
Unique sites:
Ce  0.000  0.166  0.000 x4
Pm  0.000  0.000  0.500 x2
Pm  0.000  0.334  0.500 x4
Ho  0.000  0.500  0.000 x2
Tm  0.247  0.000  0.247 x4
Tm  0.250  0.168  0.754 x8

(4)
This record from Alexandria describes crystalline CePm2HoTm at its relaxed geometry. The functional is PBE-GGA.

For the total energy, the calculation gives -4.6121 eV per atom. The theoretical density is 7.7 g cm⁻³. As for the total moment: 0.85 μB per cell. Its crystal system is monoclinic.

abc: 6.666 8.140 6.092
angles: 90.00 90.29 90.00
Space group P2/c (No. 13)
Unique sites:
Ce  0.000  0.000  0.000 x2
Pm  0.264  0.311  0.252 x4
Ho  0.000  0.354  0.750 x2
Tm  0.500  0.124  0.750 x2

(5)
This record from Alexandria describes crystalline Ce2PmHo3Tm6 at its relaxed geometry. The functional is PBE-GGA.

For the total energy, the calculation gives -4.7147 eV per atom. The theoretical density is 8.8 g cm⁻³. As for the total moment: 3.51 μB per cell. Its crystal system is monoclinic.

abc: 6.086 10.538 11.608
angles: 90.00 100.06 90.00
Space group C2/m (No. 12)
Unique sites:
Ce  0.000  0.167  0.000 x4
Pm  0.000  0.500  0.000 x2
Ho  0.000  0.000  0.500 x2
Ho  0.000  0.334  0.500 x4
Tm  0.248  0.000  0.250 x4
Tm  0.248  0.168  0.750 x8

(6)
This record from Alexandria describes crystalline CePm2HoTm5 at its relaxed geometry. The functional is PBE-GGA.

For the total energy, the calculation gives -4.4313 eV per atom. The theoretical density is 8.5 g cm⁻³. As for the total moment: 3.88 μB per cell. Its crystal system is tetragonal.

abc: 8.529 8.529 15.420
angles: 90.00 90.00 90.00
Space group I4/mcm (No. 140)
Unique sites:
Ce  0.000  0.500  0.250 x4
Pm  0.119  0.381  0.000 x8
Ho  0.000  0.000  0.250 x4
Tm  0.000  0.000  0.000 x4
Tm  0.206  0.294  0.360 x16

(7)
This record from Alexandria describes crystalline CePm2Ho5Tm at its relaxed geometry. The functional is PBE-GGA.

For the total energy, the calculation gives -4.4785 eV per atom. The theoretical density is 8.3 g cm⁻³. As for the total moment: 3.70 μB per cell. Its crystal system is tetragonal.

abc: 8.513 8.513 15.654
angles: 90.00 90.00 90.00
Space group I4/mcm (No. 140)
Unique sites:
Ce  0.000  0.500  0.250 x4
Pm  0.121  0.379  0.000 x8
Ho  0.000  0.000  0.000 x4
Ho  0.204  0.296  0.358 x16
Tm  0.000  0.000  0.250 x4

(8)
This record from Alexandria describes crystalline CePmHo5Tm2 at its relaxed geometry. The functional is PBE-GGA.

For the total energy, the calculation gives -4.5469 eV per atom. The theoretical density is 8.4 g cm⁻³. As for the total moment: 3.07 μB per cell. Its crystal system is orthorhombic.

abc: 5.660 21.322 9.541
angles: 90.00 90.00 90.00
Space group Cmc2_1 (No. 36)
Unique sites:
Ce  0.000  0.194  0.000 x4
Pm  0.000  0.403  0.400 x4
Ho  0.000  0.013  0.992 x4
Ho  0.000  0.267  0.310 x4
Ho  0.000  0.306  0.692 x4
Ho  0.000  0.394  0.017 x4
Ho  0.000  0.471  0.722 x4
Tm  0.000  0.113  0.299 x4
Tm  0.000  0.136  0.682 x4

(9)
This record from Alexandria describes crystalline CePm2Y5Ho at its relaxed geometry. The functional is PBE-GGA.

For the total energy, the calculation gives -5.5532 eV per atom. The theoretical density is 5.9 g cm⁻³. As for the total moment: 4.03 μB per cell. Its crystal system is tetragonal.

abc: 8.608 8.608 15.710
angles: 90.00 90.00 90.00
Space group I4/mcm (No. 140)
Unique sites:
Ce  0.000  0.500  0.250 x4
Pm  0.120  0.380  0.000 x8
Y  0.000  0.000  0.000 x4
Y  0.203  0.297  0.360 x16
Ho  0.000  0.000  0.250 x4

(10)
This record from Alexandria describes crystalline CePm2Y6Ho3 at its relaxed geometry. The functional is PBE-GGA.

For the total energy, the calculation gives -5.6221 eV per atom. The theoretical density is 6.3 g cm⁻³. As for the total moment: 2.06 μB per cell. Its crystal system is monoclinic.

abc: 6.197 10.729 11.820
angles: 90.00 100.05 90.00
Space group C2/m (No. 12)
Unique sites:
Ce  0.000  0.000  0.000 x2
Pm  0.000  0.334  0.000 x4
Y  0.247  0.000  0.748 x4
Y  0.250  0.166  0.252 x8
Ho  0.000  0.167  0.500 x4
Ho  0.000  0.500  0.500 x2